Density functional theory data (GGA-PBE) for a relaxed Nd2SmZn2Si4Pd2 crystal.

Cell and atoms, written as extended XYZ:
```
11
Lattice="-2.0801 2.1057 12.2678 2.0801 -2.1057 12.2678 2.0801 2.1057 -12.2678" Properties=species:S:1:pos:R:3 pbc="T T T"
Nd 0.0000 0.0000 3.6053
Nd 0.0000 0.0000 20.9303
Sm 2.0801 0.0000 0.0000
Zn 0.0000 0.0000 9.8966
Zn 0.0000 0.0000 14.6390
Si 0.0000 0.0000 7.4767
Si 2.0801 0.0000 11.0911
Si 0.0000 2.1057 1.1767
Si 0.0000 0.0000 17.0590
Pd 2.0801 0.0000 6.1403
Pd 0.0000 2.1057 6.1275
```

Computed properties:
- E_tot (eV per cell) = -57.20
- M_tot (μB/atom) = 0.001
- SG = Immm